Ta3Ni after structural relaxation. Source: Alexandria via LeMat-Bulk, functional PBE.

Output
Formation energy from the elements in eV/atom: 0.076
Symmetry: No. 194

Cell lengths 5.6991, 5.6991, 9.4403 Å; angles 90.00, 90.00, 120.00 degrees
Element x y z (fractional)
Ta 0.0000 0.5000 0.0000
Ta 0.0000 0.5000 0.5000
Ta 0.1636 0.3273 0.2500
Ta 0.1636 0.8364 0.2500
Ta 0.3273 0.1636 0.7500
Ta 0.5000 0.0000 0.0000
Ta 0.5000 0.0000 0.5000
Ta 0.5000 0.5000 0.0000
Ta 0.5000 0.5000 0.5000
Ta 0.6727 0.8364 0.2500
Ta 0.8364 0.1636 0.7500
Ta 0.8364 0.6727 0.7500
Ni 0.0000 0.0000 0.0000
Ni 0.0000 0.0000 0.5000
Ni 0.3333 0.6667 0.7500
Ni 0.6667 0.3333 0.2500


TaNi after structural relaxation. Source: Alexandria via LeMat-Bulk, functional PBE.

Output
Formation energy from the elements in eV/atom: -0.118
Symmetry: No. 12

Cell lengths 9.6171, 2.7347, 4.6435 Å; angles 90.00, 108.35, 90.00 degrees
Element x y z (fractional)
Ta 0.1107 0.0000 0.3161
Ta 0.3893 0.5000 0.6839
Ta 0.6107 0.5000 0.3161
Ta 0.8893 0.0000 0.6839
Ni 0.1446 0.5000 0.8404
Ni 0.3554 0.0000 0.1596
Ni 0.6446 0.0000 0.8404
Ni 0.8554 0.5000 0.1596


Ta5Ni after structural relaxation. Source: Alexandria via LeMat-Bulk, functional PBE.

Output
Formation energy from the elements in eV/atom: 0.105
ΔE to the lowest computed polymorph in kJ per mole of atoms: 13.28
Symmetry: No. 227

Cell lengths 8.4150, 8.4150, 8.4150 Å; angles 60.00, 60.00, 60.00 degrees
Element x y z (fractional)
Ta 0.1341 0.7886 0.7886
Ta 0.1876 0.1876 0.5624
Ta 0.1876 0.5624 0.1876
Ta 0.1876 0.5624 0.5624
Ta 0.2114 0.2114 0.2114
Ta 0.2114 0.2114 0.8659
Ta 0.2114 0.8659 0.2114
Ta 0.4376 0.4376 0.8124
Ta 0.4376 0.8124 0.4376
Ta 0.4376 0.8124 0.8124
Ta 0.5624 0.1876 0.1876
Ta 0.5624 0.1876 0.5624
Ta 0.5624 0.5624 0.1876
Ta 0.7886 0.1341 0.7886
Ta 0.7886 0.7886 0.1341
Ta 0.7886 0.7886 0.7886
Ta 0.8124 0.4376 0.4376
Ta 0.8124 0.4376 0.8124
Ta 0.8124 0.8124 0.4376
Ta 0.8659 0.2114 0.2114
Ni 0.0000 0.0000 0.0000
Ni 0.0000 0.0000 0.5000
Ni 0.0000 0.5000 0.0000
Ni 0.5000 0.0000 0.0000


TaNi2 after structural relaxation. Source: Alexandria via LeMat-Bulk, functional PBE.

Output
Formation energy from the elements in eV/atom: -0.218
Symmetry: No. 62

Cell lengths 5.1037, 4.4072, 7.1287 Å; angles 90.00, 90.00, 90.00 degrees
Element x y z (fractional)
Ta 0.1830 0.2500 0.0993
Ta 0.3170 0.7500 0.5993
Ta 0.6830 0.2500 0.4007
Ta 0.8170 0.7500 0.9007
Ni 0.0427 0.7500 0.2516
Ni 0.1823 0.2500 0.4509
Ni 0.3177 0.7500 0.9509
Ni 0.4573 0.2500 0.7516
Ni 0.5427 0.7500 0.2484
Ni 0.6823 0.2500 0.0491
Ni 0.8177 0.7500 0.5491
Ni 0.9573 0.2500 0.7484


Ta6Ni7 after structural relaxation. Source: Alexandria via LeMat-Bulk, functional PBE.

Output
Formation energy from the elements in eV/atom: -0.265
Symmetry: No. 166

Cell lengths 9.2876, 9.2876, 9.2876 Å; angles 30.37, 30.37, 30.37 degrees
Element x y z (fractional)
Ta 0.0500 0.0500 0.0500
Ta 0.1566 0.1566 0.1566
Ta 0.3313 0.3313 0.3313
Ta 0.6687 0.6687 0.6687
Ta 0.8434 0.8434 0.8434
Ta 0.9500 0.9500 0.9500
Ni 0.0908 0.5905 0.5905
Ni 0.4095 0.4095 0.9092
Ni 0.4095 0.9092 0.4095
Ni 0.5000 0.5000 0.5000
Ni 0.5905 0.0908 0.5905
Ni 0.5905 0.5905 0.0908
Ni 0.9092 0.4095 0.4095


Ta3Ni after structural relaxation. Source: Alexandria via LeMat-Bulk, functional PBE.

Output
Formation energy from the elements in eV/atom: -0.067
Symmetry: No. 65

Cell lengths 3.5257, 4.3647, 8.5418 Å; angles 90.00, 90.00, 90.00 degrees
Element x y z (fractional)
Ta 0.0000 0.0000 0.0000
Ta 0.0000 0.5000 0.2754
Ta 0.0000 0.5000 0.7246
Ta 0.5000 0.0000 0.2754
Ta 0.5000 0.0000 0.7246
Ta 0.5000 0.5000 0.0000
Ni 0.0000 0.0000 0.5000
Ni 0.5000 0.5000 0.5000


TaNi2 after structural relaxation. Source: Alexandria via LeMat-Bulk, functional PBE.

Output
Formation energy from the elements in eV/atom: 0.292
Symmetry: No. 123

Cell lengths 3.4166, 3.4166, 3.8390 Å; angles 90.00, 90.00, 90.00 degrees
Element x y z (fractional)
Ta 0.0000 0.0000 0.0000
Ni 0.0000 0.5000 0.5000
Ni 0.5000 0.0000 0.5000


TaNi after structural relaxation. Source: Alexandria via LeMat-Bulk, functional PBE.

Output
Formation energy from the elements in eV/atom: 0.551
Symmetry: No. 83

Cell lengths 10.8556, 10.8556, 2.6846 Å; angles 90.00, 90.00, 90.00 degrees
Element x y z (fractional)
Ta 0.0133 0.1855 0.0000
Ta 0.1013 0.6019 0.5000
Ta 0.1855 0.9867 0.0000
Ta 0.3981 0.1013 0.5000
Ta 0.6019 0.8987 0.5000
Ta 0.8145 0.0133 0.0000
Ta 0.8987 0.3981 0.5000
Ta 0.9867 0.8145 0.0000
Ni 0.1292 0.3779 0.5000
Ni 0.2347 0.7545 0.0000
Ni 0.2455 0.2347 0.0000
Ni 0.3779 0.8708 0.5000
Ni 0.6221 0.1292 0.5000
Ni 0.7545 0.7653 0.0000
Ni 0.7653 0.2455 0.0000
Ni 0.8708 0.6221 0.5000


Ta5Ni after structural relaxation. Source: Alexandria via LeMat-Bulk, functional PBE.

Output
Formation energy from the elements in eV/atom: 0.867
ΔE to the lowest computed polymorph in kJ per mole of atoms: 86.77
Symmetry: No. 191

Cell lengths 5.5039, 5.5039, 4.5576 Å; angles 90.00, 90.00, 120.00 degrees
Element x y z (fractional)
Ta 0.0000 0.5000 0.0000
Ta 0.3333 0.6667 0.5000
Ta 0.5000 0.0000 0.0000
Ta 0.5000 0.5000 0.0000
Ta 0.6667 0.3333 0.5000
Ni 0.0000 0.0000 0.5000


TaNi2 after structural relaxation. Source: Alexandria via LeMat-Bulk, functional PBE.

Output
Formation energy from the elements in eV/atom: -0.220
Symmetry: No. 12

Cell lengths 8.4101, 3.6244, 5.4448 Å; angles 90.00, 107.57, 90.00 degrees
Element x y z (fractional)
Ta 0.1554 0.0000 0.3069
Ta 0.3446 0.5000 0.6931
Ta 0.6554 0.5000 0.3069
Ta 0.8446 0.0000 0.6931
Ni 0.0000 0.5000 0.0000
Ni 0.0000 0.5000 0.5000
Ni 0.1685 0.0000 0.8317
Ni 0.3315 0.5000 0.1683
Ni 0.5000 0.0000 0.0000
Ni 0.5000 0.0000 0.5000
Ni 0.6685 0.5000 0.8317
Ni 0.8315 0.0000 0.1683


TaNi after structural relaxation. Source: Alexandria via LeMat-Bulk, functional PBE.

Output
Formation energy from the elements in eV/atom: 0.734
Symmetry: No. 194

Cell lengths 4.2338, 4.2338, 4.8836 Å; angles 90.00, 90.00, 120.00 degrees
Element x y z (fractional)
Ta 0.3333 0.6667 0.2500
Ta 0.6667 0.3333 0.7500
Ni 0.3333 0.6667 0.7500
Ni 0.6667 0.3333 0.2500


TaNi2 after structural relaxation. Source: Alexandria via LeMat-Bulk, functional PBE.

Output
Formation energy from the elements in eV/atom: -0.175
Symmetry: No. 12

Cell lengths 7.2012, 4.1628, 2.6423 Å; angles 90.00, 90.10, 90.00 degrees
Element x y z (fractional)
Ta 0.0000 0.0000 0.0000
Ta 0.5000 0.5000 0.0000
Ni 0.1667 0.5000 0.4110
Ni 0.3333 0.0000 0.5890
Ni 0.6667 0.0000 0.4110
Ni 0.8333 0.5000 0.5890